1.
Density functional theory data (PBE) for a geometry-optimized PrGdZn structure.

```
3
Lattice="0.000 3.577 3.577 3.577 0.000 3.577 3.577 3.577 0.000" Properties=species:S:1:pos:R:3 pbc="T T T"
Pr 0.000 0.000 0.000
Gd 3.577 3.577 3.577
Zn 5.366 5.366 5.366
```

2.
Density functional theory data (PBE) for a geometry-optimized GdPt structure.

```
2
Lattice="3.921 0.000 0.000 -1.961 3.396 0.000 0.000 0.000 3.658" Properties=species:S:1:pos:R:3 pbc="T T T"
Gd 0.000 0.000 0.000
Pt 1.961 1.132 1.829
```

3.
Density functional theory data (PBE) for a geometry-optimized Gd2Pt structure.

```
6
Lattice="0.000 4.166 4.166 4.166 0.000 4.166 4.166 4.166 0.000" Properties=species:S:1:pos:R:3 pbc="T T T"
Gd 0.000 0.000 0.000
Gd 2.083 2.083 0.000
Gd 2.083 0.000 2.083
Gd 0.000 2.083 2.083
Pt 3.124 3.124 3.124
Pt 5.207 5.207 5.207
```

One value per record, in order, for formation enthalpy at 0 K: 0.026 -0.987 0.316 eV/atom.
One value per record, in order, for final energy: -10.62 -12.68 -28.83 eV/cell.